No. 1
BaTcSeBr2 | PBE | optimized geometry

abc: 6.070 6.070 6.341
angles: 90.00 90.00 90.00
Each line ends with the local moment (μB).
Sites, in units of the cell vectors:
Se 0.000 0.000 0.500  -0.10
Ba 0.000 0.000 0.000  0.00
Br 0.000 0.500 0.000  0.03
Br 0.500 0.000 0.000  0.03
Tc 0.500 0.500 0.500  4.19

Computed properties:
- SG = P4/mmm, No. 123
- calculated volume (Å³ per atom) = 46.7
- E_form (uncorrected) (meV/atom) = 245
- size of the total moment (μB per cell) = 5.0

No. 2
K3SiS3 | PBE | optimized geometry

abc: 4.527 12.762 13.636
angles: 90.00 90.00 90.00
Sites, in units of the cell vectors:
K 0.750 0.734 0.793
K 0.250 0.766 0.293
K 0.250 0.266 0.207
K 0.750 0.234 0.707
K 0.750 0.128 0.015
K 0.250 0.372 0.515
K 0.250 0.872 0.985
K 0.750 0.628 0.485
K 0.750 0.916 0.600
K 0.250 0.584 0.100
K 0.250 0.084 0.400
K 0.750 0.416 0.900
Si 0.750 0.945 0.205
Si 0.250 0.555 0.705
Si 0.250 0.055 0.795
Si 0.750 0.445 0.295
S 0.750 0.988 0.826
S 0.250 0.512 0.326
S 0.250 0.012 0.174
S 0.750 0.488 0.674
S 0.750 0.914 0.363
S 0.250 0.586 0.863
S 0.250 0.086 0.637
S 0.750 0.414 0.137
S 0.750 0.793 0.129
S 0.250 0.707 0.629
S 0.250 0.207 0.871
S 0.750 0.293 0.371

Computed properties:
- SG = Pnma, No. 62
- calculated volume (Å³ per atom) = 28.1
- E_form (uncorrected) (meV/atom) = -987
- size of the total moment (μB per cell) = 0.0

No. 3
Ga2Cu2Ni3 | PBE | optimized geometry

abc: 3.714 4.312 6.767
angles: 104.58 105.92 115.51
Sites, in units of the cell vectors:
Ga 0.833 0.411 0.256
Ga 0.167 0.589 0.744
Cu 0.279 0.138 0.420
Cu 0.721 0.862 0.580
Ni 0.000 0.000 0.000
Ni 0.569 0.288 0.850
Ni 0.431 0.712 0.150

Computed properties:
- SG = C2/m, No. 12
- calculated volume (Å³ per atom) = 12.2
- formation energy from the elements (eV/atom) = -0.214
- size of the total moment (μB per cell) = 0.0

No. 4
Na3Hg2Bi3 | PBE | optimized geometry

abc: 3.619 8.439 8.439
angles: 120.00 90.00 90.00
Sites, in units of the cell vectors:
Na 0.500 0.388 0.388
Na 0.500 0.612 0.000
Na 0.500 0.000 0.612
Hg 0.000 0.333 0.667
Hg 0.000 0.667 0.333
Bi 0.000 0.748 0.748
Bi 0.000 0.252 0.000
Bi 0.000 0.000 0.252

Computed properties:
- SG = P-62m, No. 189
- calculated volume (Å³ per atom) = 27.9
- formation energy from the elements (eV/atom) = -0.212
- size of the total moment (μB per cell) = 0.0

No. 5
KAuS3 | PBE | optimized geometry

abc: 4.961 4.961 4.961
angles: 90.00 90.00 90.00
Sites, in units of the cell vectors:
K 0.500 0.500 0.500
Au 0.000 0.000 0.000
S 0.000 0.500 0.000
S 0.000 0.000 0.500
S 0.500 0.000 0.000

Computed properties:
- SG = Pm-3m, No. 221
- calculated volume (Å³ per atom) = 24.4
- E_form (uncorrected) (meV/atom) = 109
- size of the total moment (μB per cell) = 0.0

No. 6
K2ScHCl6 | PBE | optimized geometry

abc: 7.400 7.181 8.799
angles: 50.79 54.46 64.41
Sites, in units of the cell vectors:
K 0.693 0.175 0.618
K 0.307 0.825 0.382
Sc 0.000 0.000 0.000
H 0.500 0.500 0.000
Cl 0.136 0.082 0.634
Cl 0.813 0.661 0.167
Cl 0.381 0.728 0.022
Cl 0.619 0.272 0.978
Cl 0.187 0.339 0.833
Cl 0.864 0.918 0.366

Computed properties:
- SG = P-1, No. 2
- calculated volume (Å³ per atom) = 29.3
- energy (eV per atom) = -4.0021
- size of the total moment (μB per cell) = 0.0

No. 7
LiCdOs2 | PBE | optimized geometry

abc: 2.894 2.894 7.137
angles: 90.00 90.00 90.00
Sites, in units of the cell vectors:
Cd 0.000 0.000 0.518
Li 0.500 0.500 0.765
Os 0.000 0.000 0.997
Os 0.500 0.500 0.220

Computed properties:
- SG = P4mm, No. 99
- calculated volume (Å³ per atom) = 14.9
- formation energy from the elements (eV/atom) = 0.181
- size of the total moment (μB per cell) = 0.0

No. 8
BeSn | PBE | optimized geometry

abc: 4.553 4.415 3.210
angles: 71.39 113.26 138.08
Sites, in units of the cell vectors:
Be 0.138 0.918 0.437
Sn 0.454 0.602 0.753

Computed properties:
- SG = Fmm2, No. 42
- calculated volume (Å³ per atom) = 19.8
- formation energy from the elements (eV/atom) = 0.444
- size of the total moment (μB per cell) = 0.0

No. 9
ZnPd2Br | PBE | optimized geometry

abc: 4.117 4.117 9.262
angles: 77.16 77.16 90.00
Sites, in units of the cell vectors:
Zn 0.500 0.500 0.000
Zn 0.250 0.750 0.500
Br 0.000 0.000 0.000
Br 0.750 0.250 0.500
Pd 0.617 0.125 0.250
Pd 0.133 0.625 0.250
Pd 0.375 0.383 0.750
Pd 0.875 0.867 0.750

Computed properties:
- SG = I-42d, No. 122
- calculated volume (Å³ per atom) = 18.6
- E_form (uncorrected) (meV/atom) = 76
- size of the total moment (μB per cell) = 0.0

No. 10
ZrU5S6 | PBE | optimized geometry

abc: 6.670 6.670 6.608
angles: 99.73 99.73 120.12
Each line ends with the local moment (μB).
Sites, in units of the cell vectors:
S 0.408 0.081 0.243  -0.06
S 0.919 0.592 0.757  -0.06
S 0.242 0.242 0.752  -0.06
S 0.758 0.758 0.248  -0.06
S 0.081 0.408 0.243  -0.06
S 0.592 0.919 0.757  -0.06
U 0.831 0.169 0.500  2.09
U 0.666 0.334 0.000  2.02
U 0.500 0.500 0.500  2.10
U 0.334 0.666 0.000  2.02
U 0.169 0.831 0.500  2.09
Zr 0.000 0.000 0.000  -0.02

Computed properties:
- SG = C2/m, No. 12
- calculated volume (Å³ per atom) = 19.9
- E_form (uncorrected) (meV/atom) = -1402
- size of the total moment (μB per cell) = 11.4

No. 11
Pr2AlN | PBE | optimized geometry

abc: 3.568 3.568 9.512
angles: 79.19 79.19 60.00
Sites, in units of the cell vectors:
Pr 0.116 0.116 0.652
Pr 0.884 0.884 0.348
Al 0.000 0.000 0.000
N 0.500 0.500 0.500

Computed properties:
- SG = R-3m, No. 166
- calculated volume (Å³ per atom) = 25.6
- E_form (uncorrected) (meV/atom) = -395
- size of the total moment (μB per cell) = 0.0

No. 12
MnIn2Se | PBE | optimized geometry

abc: 4.084 4.108 5.581
angles: 90.00 90.00 90.00
Each line ends with the local moment (μB).
Sites, in units of the cell vectors:
In 0.000 0.000 0.000  -0.02
In 0.500 0.500 0.000  -0.02
Mn 0.500 0.000 0.500  4.10
Se 0.000 0.500 0.500  0.02

Computed properties:
- SG = Pmmm, No. 47
- calculated volume (Å³ per atom) = 23.4
- E_form (uncorrected) (meV/atom) = 179
- size of the total moment (μB per cell) = 4.3

No. 13
CaIn2SnBi2 | PBE | optimized geometry

abc: 4.762 7.216 10.914
angles: 90.00 90.00 90.00
Sites, in units of the cell vectors:
Ca 0.000 0.009 0.457
Ca 0.000 0.509 0.543
In 0.500 0.998 0.967
In 0.000 0.232 0.145
In 0.500 0.498 0.033
In 0.000 0.732 0.855
Sn 0.500 0.223 0.652
Sn 0.500 0.723 0.348
Bi 0.000 0.287 0.837
Bi 0.500 0.297 0.351
Bi 0.000 0.787 0.163
Bi 0.500 0.797 0.649

Computed properties:
- SG = Pmc2_1, No. 26
- calculated volume (Å³ per atom) = 31.3
- formation energy from the elements (eV/atom) = -0.212
- size of the total moment (μB per cell) = 0.0

No. 14
PmBiSb4 | PBE | optimized geometry

abc: 6.283 6.283 6.283
angles: 60.00 60.00 60.00
Sites, in units of the cell vectors:
Sb 0.625 0.625 0.125
Sb 0.625 0.125 0.625
Sb 0.625 0.625 0.625
Sb 0.125 0.625 0.625
Bi 0.000 0.000 0.000
Pm 0.250 0.250 0.250

Computed properties:
- SG = F-43m, No. 216
- calculated volume (Å³ per atom) = 29.2
- E_form (uncorrected) (meV/atom) = -74
- size of the total moment (μB per cell) = 0.0

No. 15
Li2AcGa3 | PBE | optimized geometry

abc: 5.104 6.990 6.990
angles: 101.62 90.00 90.00
Sites, in units of the cell vectors:
Li 0.500 0.787 0.213
Li 0.000 0.787 0.213
Li 0.000 0.213 0.787
Li 0.500 0.213 0.787
Ac 0.250 0.322 0.322
Ac 0.750 0.678 0.678
Ga 0.750 0.462 0.084
Ga 0.750 0.084 0.462
Ga 0.250 0.538 0.916
Ga 0.750 0.072 0.072
Ga 0.250 0.928 0.928
Ga 0.250 0.916 0.538

Computed properties:
- SG = Cmcm, No. 63
- calculated volume (Å³ per atom) = 20.4
- formation energy from the elements (eV/atom) = -0.424
- size of the total moment (μB per cell) = 0.0

No. 16
Ce2MgSb | PBE | optimized geometry

abc: 4.744 4.710 4.710
angles: 90.00 90.00 90.00
Each line ends with the local moment (μB).
Sites, in units of the cell vectors:
Sb 0.500 0.000 0.000  -0.02
Mg 0.500 0.500 0.500  0.00
Ce 0.000 0.000 0.500  0.76
Ce 0.000 0.500 0.000  0.76

Computed properties:
- SG = P4/mmm, No. 123
- calculated volume (Å³ per atom) = 26.3
- E_form (uncorrected) (meV/atom) = -452
- size of the total moment (μB per cell) = 1.9

No. 17
SnPd2Au | PBE | optimized geometry

abc: 3.408 3.408 6.039
angles: 90.00 90.00 90.00
Sites, in units of the cell vectors:
Au 0.500 0.500 0.500
Sn 0.500 0.500 0.000
Pd 0.000 0.000 0.758
Pd 0.000 0.000 0.242

Computed properties:
- SG = P4/mmm, No. 123
- calculated volume (Å³ per atom) = 17.5
- formation energy from the elements (eV/atom) = -0.325
- size of the total moment (μB per cell) = 0.0

No. 18
OsSe3O | PBE | optimized geometry

abc: 4.827 4.827 4.827
angles: 90.00 90.00 90.00
Sites, in units of the cell vectors:
Os 0.000 0.000 0.000
O 0.500 0.500 0.500
Se 0.000 0.500 0.000
Se 0.000 0.000 0.500
Se 0.500 0.000 0.000

Computed properties:
- SG = Pm-3m, No. 221
- calculated volume (Å³ per atom) = 22.5
- E_form (uncorrected) (meV/atom) = 1099
- size of the total moment (μB per cell) = 0.0

No. 19
SrLiY2 | PBE | optimized geometry

abc: 6.090 3.593 6.261
angles: 83.00 90.00 90.00
Sites, in units of the cell vectors:
Li 0.500 0.250 0.250
Sr 0.500 0.750 0.750
Y 0.000 0.028 0.009
Y 0.000 0.472 0.491

Computed properties:
- SG = P2/m, No. 10
- calculated volume (Å³ per atom) = 34.0
- formation energy from the elements (eV/atom) = 0.238
- size of the total moment (μB per cell) = 0.0

No. 20
Ac8AlGa2 | PBE | optimized geometry

abc: 5.529 7.536 10.496
angles: 103.74 105.27 90.00
Sites, in units of the cell vectors:
Ac 0.409 0.539 0.818
Ac 0.664 0.974 0.328
Ac 0.796 0.675 0.592
Ac 0.976 0.226 0.952
Ac 0.204 0.325 0.408
Ac 0.336 0.026 0.672
Ac 0.591 0.461 0.182
Ac 0.024 0.774 0.048
Al 0.500 0.000 0.000
Ga 0.816 0.261 0.631
Ga 0.184 0.739 0.369

Computed properties:
- SG = C2/m, No. 12
- calculated volume (Å³ per atom) = 37.2
- formation energy from the elements (eV/atom) = -0.164
- size of the total moment (μB per cell) = 0.0

No. 21
CoMo2Cl | PBE | optimized geometry

abc: 4.729 4.729 4.649
angles: 75.99 75.99 34.58
Sites, in units of the cell vectors:
Mo 0.994 0.994 0.092
Mo 0.742 0.742 0.695
Co 0.261 0.261 0.183
Cl 0.502 0.502 0.530

Computed properties:
- SG = Cm, No. 8
- calculated volume (Å³ per atom) = 14.3
- E_form (uncorrected) (meV/atom) = 545
- size of the total moment (μB per cell) = 0.0

No. 22
BeH3Pd | PBE | optimized geometry

abc: 3.455 3.455 3.455
angles: 90.00 90.00 90.00
Each line ends with the local moment (μB).
Sites, in units of the cell vectors:
Be 0.500 0.500 0.500  -0.07
Pd 0.000 0.000 0.000  -0.02
H 0.000 0.500 0.000  0.00
H 0.000 0.000 0.500  0.00
H 0.500 0.000 0.000  0.00

Computed properties:
- SG = Pm-3m, No. 221
- calculated volume (Å³ per atom) = 8.2
- energy (eV per atom) = -3.3057
- size of the total moment (μB per cell) = 0.2

No. 23
CsGe2OsS | PBE | optimized geometry

abc: 5.443 4.356 5.443
angles: 90.00 90.00 90.00
Sites, in units of the cell vectors:
Cs 0.500 0.500 0.500
Ge 0.000 0.000 0.500
Ge 0.500 0.000 0.000
Os 0.000 0.500 0.000
S 0.000 0.000 0.000

Computed properties:
- SG = P4/mmm, No. 123
- calculated volume (Å³ per atom) = 25.8
- E_form (uncorrected) (meV/atom) = 813
- size of the total moment (μB per cell) = 0.0

No. 24
TlZnHg2Bi | PBE | optimized geometry

abc: 5.264 5.264 5.552
angles: 90.00 90.00 90.00
Sites, in units of the cell vectors:
Zn 0.000 0.000 0.000
Tl 0.500 0.500 0.500
Bi 0.000 0.000 0.500
Hg 0.000 0.500 0.000
Hg 0.500 0.000 0.000

Computed properties:
- SG = P4/mmm, No. 123
- calculated volume (Å³ per atom) = 30.8
- formation energy from the elements (eV/atom) = 0.140
- size of the total moment (μB per cell) = 0.0

No. 25
SrAlCl2 | PBE | optimized geometry

abc: 3.564 3.564 11.628
angles: 90.00 90.00 90.00
Sites, in units of the cell vectors:
Sr 0.500 0.500 0.250
Al 0.500 0.500 0.750
Cl 0.000 0.000 0.110
Cl 0.000 0.000 0.390

Computed properties:
- SG = P4/mmm, No. 123
- calculated volume (Å³ per atom) = 36.9
- E_form (uncorrected) (meV/atom) = -1173
- size of the total moment (μB per cell) = 0.0